No. 1
{
  "formula": "ErZnGa2Cu4",
  "functional": "PBE",
  "state": "relaxed",
  "lattice_angstrom": [[2.088, 1.206, 8.189], [-2.088, 1.206, 8.189], [0.000, -2.411, 8.189]],
  "species": ["Er", "Zn", "Ga", "Ga", "Cu", "Cu", "Cu", "Cu"],
  "frac_coords": [[0.000, 0.000, 0.000], [0.500, 0.500, 0.500], [0.248, 0.248, 0.248], [0.752, 0.752, 0.752], [0.132, 0.132, 0.132], [0.401, 0.401, 0.401], [0.599, 0.599, 0.599], [0.868, 0.868, 0.868]],
  "energy_ev_per_atom": -3.7472,
  "ef_ev_per_fu": -1.70,
  "spacegroup": "No. 166"
}

No. 2
{
  "formula": "AcSnTe",
  "functional": "PBE",
  "state": "relaxed",
  "lattice_angstrom": [[5.366, 0.000, 0.000], [-2.683, 4.647, 0.000], [0.000, 0.000, 3.997]],
  "species": ["Ac", "Sn", "Te"],
  "frac_coords": [[0.000, 0.000, 0.000], [0.667, 0.333, 0.500], [0.333, 0.667, 0.500]],
  "formation_energy_uncorrected_ev_per_atom": -0.647,
  "energy_ev_per_atom": -4.3978,
  "spacegroup": "No. 187"
}

What did the second record say?
{
  "formula": "AcSnTe",
  "functional": "PBE",
  "state": "relaxed",
  "lattice_angstrom": [[5.366, 0.000, 0.000], [-2.683, 4.647, 0.000], [0.000, 0.000, 3.997]],
  "species": ["Ac", "Sn", "Te"],
  "frac_coords": [[0.000, 0.000, 0.000], [0.667, 0.333, 0.500], [0.333, 0.667, 0.500]],
  "formation_energy_uncorrected_ev_per_atom": -0.647,
  "energy_ev_per_atom": -4.3978,
  "spacegroup": "No. 187"
}